1.
The following is a GGA-PBE calculation of crystalline MnFeW2 at its relaxed geometry, from Alexandria via LeMat-Bulk.

Calculated values
Its symmetry is Cmm2 (35). For the energy above the lowest structure with this stoichiometry, the calculation gives 43.9 meV per atom.

Lattice parameters (Å, degrees): 2.671 2.671 8.270 90.00 90.00 107.83
Element x y z (fractional)
Mn 0.500 0.500 0.738
W 0.500 0.500 0.264
W 0.000 0.000 0.986
Fe 0.000 0.000 0.512

2.
The following is a GGA-PBE calculation of crystalline MnFeW2 at its relaxed geometry, from Alexandria via LeMat-Bulk.

Calculated values
Its symmetry is Pmmm (47). For the energy above the lowest structure with this stoichiometry, the calculation gives 31.9 meV per atom.

Lattice parameters (Å, degrees): 3.157 4.275 4.130 90.00 90.00 90.00
Element x y z (fractional)
Fe 0.500 0.000 0.500
Mn 0.000 0.500 0.500
W 0.500 0.500 0.000
W 0.000 0.000 0.000

3.
The following is a GGA-PBE calculation of crystalline Mn2FeW at its relaxed geometry, from Alexandria via LeMat-Bulk.

Calculated values
Its symmetry is I4/mmm (139). As for the total energy: -39.1 eV for the cell shown.

Lattice parameters (Å, degrees): 4.526 4.526 4.526 132.14 132.14 70.01
Element x y z (fractional)
Fe 0.750 0.250 0.500
Mn 0.000 0.000 0.000
Mn 0.500 0.500 0.000
W 0.250 0.750 0.500

4.
The following is a GGA-PBE calculation of crystalline MnFeW2 at its relaxed geometry, from Alexandria via LeMat-Bulk.

Calculated values
Its symmetry is Immm (71). For the energy above the lowest structure with this stoichiometry, the calculation gives 36.6 meV per atom.

Lattice parameters (Å, degrees): 4.916 4.916 4.916 142.51 128.54 65.39
Element x y z (fractional)
Mn 0.250 0.750 0.500
Fe 0.750 0.250 0.500
W 0.500 0.500 0.000
W 0.000 0.000 0.000

no.,total magnetic moment (μB per formula unit)
1,3.72
2,3.22
3,1.52
4,3.38